Record 1
## CeDyErTc (PBE)

Data for a relaxed CeDyErTc crystal.

The symmetry is R3m. The calculation puts the total energy at -6.250 eV per atom. The value obtained for the calculated formation energy is 0.116 eV/atom. As for the volume: 109.7 Å³ per cell.

Cell and atoms, written as extended XYZ:
```
4
Lattice="2.233 1.289 6.348 -2.233 1.289 6.348 0.000 -2.579 6.348" Properties=species:S:1:pos:R:3 pbc="T T T"
Ce 0.000 0.000 0.000
Dy 0.000 0.000 8.473
Er 0.000 0.000 4.424
Tc 0.000 0.000 12.445
```



Record 2
## SrSmTlPb (PBE)

Data for a relaxed SrSmTlPb crystal.

The symmetry is F-43m. The calculation puts the total energy at -3.518 eV per atom. The value obtained for the calculated formation energy is -0.399 eV/atom. As for the volume: 127.3 Å³ per cell.

Cell and atoms, written as extended XYZ:
```
4
Lattice="0.000 3.993 3.993 3.993 0.000 3.993 3.993 3.993 0.000" Properties=species:S:1:pos:R:3 pbc="T T T"
Sr 0.000 0.000 0.000
Sm 3.993 3.993 3.993
Tl 1.996 1.996 1.996
Pb 5.989 5.989 5.989
```